1.
Below is a geometry-optimized Ca2ZrMo4 structure, with properties calculated at the PBE level.

Cell lengths 4.862, 4.862, 15.605 Å; angles 90.00, 90.00, 90.00 degrees
Space group I4/mmm (No. 139)
Unique sites:
1 Ca 0.000 0.000 0.139
2 Zr 0.000 0.000 0.500
3 Mo 0.000 0.000 0.336
4 Mo 0.000 0.500 0.000

Values from the calculation:
calculated total energy = -6.253 eV/atom
formation energy from the elements = 1.73 eV/atom



2.
Below is a geometry-optimized Ag2HgC2 structure, with properties calculated at the PBE level.

Cell lengths 2.717, 2.717, 18.939 Å; angles 90.00, 90.00, 90.00 degrees
Space group I4/mmm (No. 139)
Unique sites:
1 Ag 0.000 0.000 0.132
2 Hg 0.000 0.000 0.500
3 C 0.000 0.500 0.250

Values from the calculation:
calculated total energy = -3.306 eV/atom
formation energy from the elements = 1.58 eV/atom
polymorph energy (0 for the lowest one) = 431 meV per atom



3.
Below is a geometry-optimized BaY2Pt structure, with properties calculated at the PBE level.

Cell lengths 3.622, 3.622, 9.747 Å; angles 90.00, 90.06, 90.00 degrees
Space group P2/m (No. 10)
Unique sites:
1 Ba 0.000 0.000 0.000
2 Y 0.499 0.500 0.336
3 Pt 0.000 0.000 0.500

Values from the calculation:
calculated total energy = -5.726 eV/atom
formation energy from the elements = -0.50 eV/atom
polymorph energy (0 for the lowest one) = 35 meV per atom



4.
Below is a geometry-optimized TbGe12Os4 structure, with properties calculated at the PBE level.

Cell lengths 8.746, 8.746, 8.746 Å; angles 90.00, 90.00, 90.00 degrees
Space group Im-3 (No. 204)
Unique sites:
1 Tb 0.000 0.000 0.000
2 Ge 0.000 0.337 0.154
3 Os 0.250 0.250 0.250

Values from the calculation:
calculated total energy = -6.061 eV/atom
formation energy from the elements = 0.11 eV/atom



5.
Below is a geometry-optimized Pm2HoOs structure, with properties calculated at the PBE level.

Cell lengths 3.455, 3.455, 9.560 Å; angles 90.00, 90.00, 90.00 degrees
Space group P4/mmm (No. 123)
Unique sites:
1 Pm 0.000 0.000 0.181
2 Ho 0.500 0.500 0.500
3 Os 0.500 0.500 0.000

Values from the calculation:
calculated total energy = -6.271 eV/atom
formation energy from the elements = 0.06 eV/atom
polymorph energy (0 for the lowest one) = 227 meV per atom



6.
Below is a geometry-optimized SmInGa2Au5 structure, with properties calculated at the PBE level.

Cell lengths 4.457, 4.457, 9.014 Å; angles 90.00, 90.00, 90.00 degrees
Space group P4/mmm (No. 123)
Unique sites:
1 Sm 0.000 0.000 0.000
2 In 0.000 0.000 0.500
3 Ga 0.500 0.500 0.134
4 Au 0.000 0.500 0.278
5 Au 0.500 0.500 0.500

Values from the calculation:
calculated total energy = -3.734 eV/atom
formation energy from the elements = -0.41 eV/atom



7.
Below is a geometry-optimized HfSc2In structure, with properties calculated at the PBE level.

Cell lengths 5.756, 5.087, 6.211 Å; angles 90.00, 90.06, 90.00 degrees
Space group P2_1/m (No. 11)
Unique sites:
1 Hf 0.125 0.250 0.499
2 Sc 0.156 0.250 0.003
3 Sc 0.359 0.750 0.729
4 In 0.343 0.750 0.240

Values from the calculation:
calculated total energy = -6.541 eV/atom
formation energy from the elements = -0.20 eV/atom



8.
Below is a geometry-optimized CoPC structure, with properties calculated at the PBE level.

Cell lengths 6.614, 2.904, 3.884 Å; angles 90.00, 103.40, 90.00 degrees
Space group Cm (No. 8)
Unique sites:
1 Co 0.000 0.000 0.000
2 P 0.181 0.500 0.726
3 C 0.074 0.000 0.497

Values from the calculation:
calculated total energy = -6.820 eV/atom
formation energy from the elements = 0.43 eV/atom
polymorph energy (0 for the lowest one) = 156 meV per atom



9.
Below is a geometry-optimized Cs5Sb2Br2 structure, with properties calculated at the PBE level.

Cell lengths 19.364, 9.657, 9.691 Å; angles 90.00, 90.00, 90.00 degrees
Space group Cmce (No. 64)
Unique sites:
1 Cs 0.000 0.000 0.000
2 Cs 0.143 0.175 0.328
3 Sb 0.000 0.103 0.603
4 Br 0.202 0.000 0.000

Values from the calculation:
calculated total energy = -2.778 eV/atom
ΔE_f (raw) = -9.14 eV/f.u.



10.
Below is a geometry-optimized Sc7GeI12 structure, with properties calculated at the PBE level.

Cell lengths 16.7488, 16.7488, 11.1494 Å; angles 90.00, 90.00, 120.00 degrees
Space group R-3 (No. 148, hexagonal axes)
Unique sites:
1 Sc 0.0000 0.0000 0.0000
2 Sc 0.0502 0.8927 0.6070
3 Ge 0.0000 0.0000 0.5000
4 I 0.0503 0.4452 0.1660
5 I 0.0561 0.8849 0.8609

Values from the calculation:
calculated total energy = -4.371 eV/atom
ΔE_f (raw) = -19.87 eV/f.u.



11.
Below is a geometry-optimized Tb4ErSc3Se8 structure, with properties calculated at the PBE level.

Cell lengths 8.0034, 8.0034, 19.7185 Å; angles 90.00, 90.00, 120.00 degrees
Space group R-3m (No. 166, hexagonal axes)
Unique sites:
1 Tb 0.0000 0.0000 0.0000
2 Tb 0.0000 0.5000 0.0000
3 Er 0.0000 0.0000 0.5000
4 Sc 0.0000 0.5000 0.5000
5 Se 0.0000 0.0000 0.2442
6 Se 0.0052 0.5026 0.7544

Values from the calculation:
calculated total energy = -6.057 eV/atom
ΔE_f (raw) = -26.96 eV/f.u.



12.
Below is a geometry-optimized La4PrTl5 structure, with properties calculated at the PBE level.

Cell lengths 3.956, 3.956, 20.059 Å; angles 90.00, 90.00, 90.00 degrees
Space group P4/mmm (No. 123)
Unique sites:
1 La 0.000 0.000 0.101
2 La 0.000 0.000 0.302
3 Pr 0.000 0.000 0.500
4 Tl 0.500 0.500 0.000
5 Tl 0.500 0.500 0.201
6 Tl 0.500 0.500 0.403

Values from the calculation:
calculated total energy = -4.050 eV/atom
formation energy from the elements = -0.42 eV/atom



13.
Below is a geometry-optimized Tl2AsPt structure, with properties calculated at the PBE level.

Cell lengths 4.145, 5.094, 8.486 Å; angles 90.00, 90.00, 90.00 degrees
Space group Immm (No. 71)
Unique sites:
1 Tl 0.000 0.000 0.239
2 As 0.000 0.500 0.000
3 Pt 0.000 0.500 0.500

Values from the calculation:
calculated total energy = -3.580 eV/atom
formation energy from the elements = 0.28 eV/atom
polymorph energy (0 for the lowest one) = 459 meV per atom



14.
Below is a geometry-optimized SrCrMo3 structure, with properties calculated at the PBE level.

Cell lengths 4.674, 4.674, 4.674 Å; angles 90.00, 90.00, 90.00 degrees
Space group Pm-3m (No. 221)
Unique sites:
1 Sr 0.000 0.000 0.000
2 Cr 0.500 0.500 0.500
3 Mo 0.000 0.000 0.500

Values from the calculation:
calculated total energy = -5.363 eV/atom
formation energy from the elements = 3.40 eV/atom
polymorph energy (0 for the lowest one) = 2255 meV per atom



15.
Below is a geometry-optimized BaTb2Hg2Pb2 structure, with properties calculated at the PBE level.

Cell lengths 5.1917, 5.1917, 28.9880 Å; angles 90.00, 90.00, 120.00 degrees
Space group R-3m (No. 166, hexagonal axes)
Unique sites:
1 Ba 0.0000 0.0000 0.0000
2 Tb 0.0000 0.0000 0.1355
3 Hg 0.0000 0.0000 0.4435
4 Pb 0.0000 0.0000 0.2574

Values from the calculation:
calculated total energy = -3.067 eV/atom
formation energy from the elements = -0.32 eV/atom



16.
Below is a geometry-optimized KMgSbTe2 structure, with properties calculated at the PBE level.

Cell lengths 5.711, 5.711, 5.404 Å; angles 90.00, 90.00, 90.00 degrees
Space group P4/mmm (No. 123)
Unique sites:
1 K 0.000 0.000 0.000
2 Mg 0.500 0.500 0.500
3 Sb 0.500 0.500 0.000
4 Te 0.000 0.500 0.500

Values from the calculation:
calculated total energy = -2.800 eV/atom
polymorph energy (0 for the lowest one) = 0 meV per atom
ΔE_f (raw) = -0.90 eV/f.u.



17.
Below is a geometry-optimized PuCrH5 structure, with properties calculated at the PBE level.

Cell lengths 3.639, 4.756, 6.498 Å; angles 90.00, 90.00, 90.00 degrees
Space group Immm (No. 71)
Unique sites:
1 Pu 0.000 0.000 0.000
2 Cr 0.000 0.000 0.500
3 H 0.000 0.272 0.329
4 H 0.000 0.500 0.000

Values from the calculation:
calculated total energy = -5.960 eV/atom



18.
Below is a geometry-optimized KSr3Ir structure, with properties calculated at the PBE level.

Cell lengths 4.281, 8.062, 22.056 Å; angles 90.00, 90.00, 90.00 degrees
Space group Amm2 (No. 38)
Unique sites:
1 K 0.000 0.000 0.000
2 Sr 0.000 0.238 0.676
3 Sr 0.500 0.000 0.819
4 Ir 0.500 0.000 0.695

Values from the calculation:
calculated total energy = -2.757 eV/atom
formation energy from the elements = 0.24 eV/atom
polymorph energy (0 for the lowest one) = 344 meV per atom



19.
Below is a geometry-optimized BaCaNiHg2 structure, with properties calculated at the PBE level.

Cell lengths 5.285, 5.285, 5.060 Å; angles 90.00, 90.00, 90.00 degrees
Space group P4/mmm (No. 123)
Unique sites:
1 Ba 0.000 0.000 0.000
2 Ca 0.500 0.500 0.000
3 Ni 0.500 0.500 0.500
4 Hg 0.000 0.500 0.500

Values from the calculation:
calculated total energy = -2.292 eV/atom
formation energy from the elements = -0.23 eV/atom



20.
Below is a geometry-optimized Er5Tm3Th3 structure, with properties calculated at the PBE level.

Cell lengths 11.0759, 11.0759, 3.4071 Å; angles 90.00, 90.00, 120.00 degrees
Space group P-62m (No. 189)
Unique sites:
1 Er 0.0000 0.3398 0.0000
2 Er 0.3333 0.6667 0.0000
3 Tm 0.0000 0.8396 0.0000
4 Th 0.0000 0.5947 0.5000

Values from the calculation:
calculated total energy = -4.908 eV/atom
formation energy from the elements = 0.41 eV/atom
polymorph energy (0 for the lowest one) = 18 meV per atom